## 1
# InP2SO

A relaxed InP2SO crystal (GGA-PBE, Alexandria via LeMat-Bulk).

a = 5.1354 Å, b = 5.1354 Å, c = 3.9923 Å
α = 90.00°, β = 90.00°, γ = 90.00°
Last column: nearest neighbours and their distance in Å.
Positions (direct):
P 0.0000 0.5000 0.0000  2 In 2.57
P 0.5000 0.0000 0.0000  2 In 2.57
S 0.5000 0.5000 0.5000  8 P 3.25, 4 O 3.63
O 0.0000 0.0000 0.5000  2 In 2.00
In 0.0000 0.0000 0.0000  2 O 2.00

## 2
# InP2SO

A relaxed InP2SO crystal (GGA-PBE, Alexandria via LeMat-Bulk).

a = 4.7897 Å, b = 4.7897 Å, c = 3.5914 Å
α = 90.00°, β = 90.00°, γ = 90.00°
Last column: nearest neighbours and their distance in Å.
Positions (direct):
P 0.0000 0.5000 0.0000  2 S 2.39
P 0.5000 0.0000 0.0000  2 S 2.39
S 0.0000 0.0000 0.0000  2 O 1.80
O 0.0000 0.0000 0.5000  2 S 1.80
In 0.5000 0.5000 0.5000  8 P 2.99

Which of them is most stable, and which least? Most stable: 2; least stable: 1.

## 1
# InP2SO

A relaxed InP2SO crystal (GGA-PBE, Alexandria via LeMat-Bulk).

a = 5.1009 Å, b = 5.1009 Å, c = 5.0322 Å
α = 90.00°, β = 90.00°, γ = 90.00°
Last column: nearest neighbours and their distance in Å.
Positions (direct):
P 0.0000 0.5000 0.0000  2 In 2.55
P 0.5000 0.0000 0.0000  2 In 2.55
S 0.0000 0.0000 0.5000  2 In 2.52
O 0.5000 0.5000 0.5000  8 P 3.58, 4 S 3.61
In 0.0000 0.0000 0.0000  2 S 2.52, 4 P 2.55

## 2
# InP2SO

A relaxed InP2SO crystal (GGA-PBE, Alexandria via LeMat-Bulk).

a = 3.8253 Å, b = 3.8253 Å, c = 6.6085 Å
α = 90.00°, β = 90.00°, γ = 90.00°
Last column: nearest neighbours and their distance in Å.
Positions (direct):
P 0.0000 0.5000 0.0000  2 O 1.91
P 0.5000 0.0000 0.0000  2 O 1.91
S 0.0000 0.0000 0.5000  4 In 2.70
O 0.0000 0.0000 0.0000  4 P 1.91
In 0.5000 0.5000 0.5000  4 S 2.70

Which of them is most stable, and which least? Most stable: 2; least stable: 1.